Record 1
ErSc2Pd2 | PBE | optimized geometry

Output
energy relative to the elements	-0.665	eV per atom
symmetry	P2_1/m (11)

POSCAR file:
```
ErSc2Pd2
1.0
-0.494 4.449 1.034
0.290 -1.115 4.939
9.356 1.776 -3.170
Pd Sc Er
4 4 2
Cartesian
0.122 2.633 4.039 Pd
9.030 2.476 -1.237 Pd
6.062 1.269 2.540 Pd
3.089 3.840 0.262 Pd
8.373 1.812 1.309 Sc
4.319 3.399 2.748 Sc
4.833 1.710 0.054 Sc
0.779 3.297 1.493 Sc
2.239 0.658 3.343 Er
6.912 4.451 -0.541 Er
```

Record 2
Er2ScPd2 | PBE | optimized geometry

Output
energy relative to the elements	-0.754	eV per atom
symmetry	P4/mbm (127)
offset from the most stable computed form	0.0	kJ/mol of formula units

POSCAR file:
```
Er2ScPd2
1.0
3.940 0.000 0.000
0.000 7.537 0.000
0.000 0.000 7.537
Er Pd Sc
4 4 2
Cartesian
0.000 5.036 2.501 Er
0.000 1.267 1.267 Er
0.000 2.501 5.036 Er
0.000 6.270 6.270 Er
1.970 6.522 1.016 Pd
1.970 1.016 6.522 Pd
1.970 2.753 2.753 Pd
1.970 4.784 4.784 Pd
1.970 3.769 0.000 Sc
1.970 0.000 3.769 Sc
```

Record 3
Er2ScPd9 | PBE | optimized geometry

Output
energy relative to the elements	-0.873	eV per atom
symmetry	P4/mmm (123)

POSCAR file:
```
Er2ScPd9
1.0
4.078 0.000 0.000
0.000 4.078 0.000
0.000 0.000 12.194
Sc Er Pd
1 2 9
Cartesian
0.000 0.000 0.000 Sc
0.000 0.000 8.161 Er
0.000 0.000 4.033 Er
2.039 2.039 4.028 Pd
2.039 2.039 8.167 Pd
2.039 0.000 10.237 Pd
2.039 0.000 6.097 Pd
0.000 2.039 1.957 Pd
2.039 2.039 0.000 Pd
0.000 2.039 6.097 Pd
0.000 2.039 10.237 Pd
2.039 0.000 1.957 Pd
```

Record 4
ErScPd | PBE | optimized geometry

Output
energy relative to the elements	-0.414	eV per atom
symmetry	R3m (160)
offset from the most stable computed form	65.0	kJ/mol of formula units

POSCAR file:
```
ErScPd
1.0
3.556 0.000 0.000
1.778 3.080 0.000
1.778 1.027 6.601
Sc Er Pd
1 1 1
Cartesian
3.556 2.053 2.655 Sc
3.556 2.053 6.424 Er
1.778 1.027 4.412 Pd
```

Record 5
ErSc3Pd12 | PBE | optimized geometry

Output
energy relative to the elements	-0.853	eV per atom
symmetry	P4/mmm (123)

POSCAR file:
```
ErSc3Pd12
1.0
4.035 0.000 0.000
0.000 4.035 0.000
0.000 0.000 16.121
Er Pd Sc
1 12 3
Cartesian
0.000 0.000 0.000 Er
2.017 0.000 2.099 Pd
2.017 0.000 6.073 Pd
2.017 0.000 14.022 Pd
2.017 2.017 12.036 Pd
2.017 2.017 4.085 Pd
0.000 2.017 14.022 Pd
0.000 2.017 2.099 Pd
0.000 2.017 10.048 Pd
0.000 2.017 6.073 Pd
2.017 0.000 10.048 Pd
2.017 2.017 8.060 Pd
2.017 2.017 0.000 Pd
0.000 0.000 12.045 Sc
0.000 0.000 8.060 Sc
0.000 0.000 4.076 Sc
```

Record 6
Er2ScPd6 | PBE | optimized geometry

Output
energy relative to the elements	-0.610	eV per atom
symmetry	Immm (71)

POSCAR file:
```
Er2ScPd6
1.0
3.764 0.000 -0.144
0.000 8.027 0.000
-1.641 -4.014 6.254
Pd Sc Er
6 1 2
Cartesian
1.882 1.939 -0.072 Pd
2.042 -2.138 4.057 Pd
0.081 1.876 2.053 Pd
0.081 6.152 2.053 Pd
2.042 2.138 4.057 Pd
1.882 6.089 -0.072 Pd
0.000 0.000 0.000 Sc
0.161 0.000 4.189 Er
1.962 4.014 1.921 Er
```